1.
SrLi2Br: optimized geometry, PBE-GGA.

Geometry as extended XYZ:
```
4
Lattice="-4.3570 1.4196 -0.4903 0.1647 -1.0437 -4.4858 -2.0259 -5.7790 1.2702" Properties=species:S:1:pos:R:3 pbc="T T T"
Br -3.6156 -4.1463 -1.5354
Li -0.0282 -0.0804 0.0177
Li -0.9848 -2.8091 0.6174
Sr -2.6026 -1.2568 -2.1705
```

Space group: P4/mmm
Formation energy without anion corrections in eV per atom: -0.470

***

2.
NaZnB3H12: optimized geometry, PBE-GGA.

Geometry as extended XYZ:
```
68
Lattice="5.2498 0.0000 0.0000 0.0000 7.5227 -0.0779 0.0000 2.2157 17.4474" Properties=species:S:1:pos:R:3 pbc="T T T"
Na 3.9249 2.9103 5.7054
Na 1.3000 5.7203 2.9404
Na 1.3249 6.8281 11.6641
Na 3.9499 4.0182 14.4291
Zn 0.2072 6.5236 6.8713
Zn 2.8321 2.1070 1.7745
Zn 5.0426 3.2149 10.4982
Zn 2.4177 7.6315 15.5950
B 3.5999 3.9575 17.2222
B 0.9750 6.8889 8.8710
B 1.6499 5.7810 0.1473
B 4.2748 2.8496 8.4985
B 1.5913 5.8113 14.5081
B 4.2162 5.0350 11.5851
B 3.6586 3.9271 2.8614
B 1.0337 4.7035 5.7844
B 3.9531 7.4490 5.5680
B 1.3281 1.1816 3.0778
B 1.2968 2.2894 11.8015
B 3.9217 8.5569 14.2917
H 3.2974 3.0168 16.5242
H 0.6725 7.8295 9.5690
H 1.9524 6.7217 0.8453
H 4.5774 1.9089 7.8005
H 2.5152 2.3417 -0.0177
H 5.1401 6.2888 8.6635
H 2.7346 7.3967 17.3872
H 0.1097 3.4496 8.7060
H 4.1286 1.2253 0.7939
H 1.5037 7.4052 7.8519
H 1.1212 8.5131 16.5756
H 3.7461 2.3332 9.5176
H 4.3884 4.7629 16.7781
H 1.7635 6.0834 9.3151
H 0.8614 4.9755 0.5914
H 3.4863 3.6551 8.0544
H 2.0644 5.3876 13.4720
H 4.6893 5.4588 12.6212
H 3.1855 4.3509 3.8975
H 0.5605 4.2797 4.7483
H 1.1605 6.9640 14.3006
H 3.7855 3.8823 11.7926
H 4.0893 2.7744 3.0689
H 1.4644 5.8562 5.5769
H 0.6879 5.1594 14.9760
H 3.3128 5.6869 11.1172
H 4.5619 4.5790 2.3935
H 1.9370 4.0516 6.2523
H 2.4978 5.7728 15.3647
H 5.1227 5.0735 10.7285
H 2.7520 3.9656 2.0048
H 0.1271 4.6650 6.6410
H 3.6673 6.6356 6.4813
H 1.0424 1.9950 2.1645
H 1.5825 3.1029 10.8882
H 4.2075 7.7434 15.2050
H 3.1411 0.8084 5.8295
H 0.5162 7.8222 2.8163
H 2.1087 8.9300 11.5400
H 4.7336 1.9163 14.5532
H 5.1029 7.9436 5.6779
H 2.4780 0.6870 2.9679
H 0.1469 1.7948 11.6916
H 2.7718 9.0515 14.4016
H 3.8747 6.8939 4.4968
H 1.2498 1.7367 4.1490
H 1.3752 2.8445 12.8727
H 4.0001 8.0018 13.2205
```

Space group: P2_1/c

***

3.
MgICl: optimized geometry, PBE-GGA.

Geometry as extended XYZ:
```
6
Lattice="4.3259 0.0000 0.0000 -2.1630 7.6012 0.7894 0.0000 -0.4164 8.1121" Properties=species:S:1:pos:R:3 pbc="T T T"
Mg 0.0000 0.8636 2.8306
Mg 2.1630 6.3211 6.0709
I 2.1630 1.9733 1.5411
I 0.0000 5.2115 7.3604
Cl 2.1630 6.0851 3.7037
Cl 0.0000 1.0996 5.1978
```

Space group: C2/m
Formation energy without anion corrections in eV per atom: -1.386

***

4.
KReSi2: optimized geometry, PBE-GGA.

Geometry as extended XYZ:
```
4
Lattice="-7.9361 0.4026 -4.8760 -8.3486 -2.3252 -3.4369 -9.1019 0.3256 -1.9921" Properties=species:S:1:pos:R:3 pbc="T T T"
K -6.3466 -0.3993 -2.5762
Re -19.0399 -1.1978 -7.7287
Si -0.4758 -0.0299 -0.1932
Si -12.2174 -0.7686 -4.9593
```

Space group: R-3m
Formation energy without anion corrections in eV per atom: 0.248

***

no.,E (eV per atom)
1,-2.265
2,-3.860
3,-3.049
4,-5.850